Crystalline Pa2TcMo at its relaxed geometry. Source: Alexandria via LeMat-Bulk, functional PBE-GGA.

Cell and atoms, written as POSCAR:
```
Pa2TcMo
1.0
4.8863 0.0000 0.0000
0.0000 4.8863 0.0000
0.0000 0.0000 3.4669
Pa Tc Mo
2 1 1
Cartesian
0.0000 2.4432 0.0000 Pa
2.4432 0.0000 0.0000 Pa
0.0000 0.0000 1.7334 Tc
2.4432 2.4432 1.7334 Mo
```

Properties
* volume: 20.69 A^3/atom
* DOS(E_F): 5.134 states/eV/f.u.
* ΔE_f: 0.021 eV per atom
* SG: P4/mmm
* E_tot: -10.0262 eV per atom
* relative energy among the computed polymorphs: 6.1 meV/atom

Crystalline KAl2Co at its relaxed geometry. Source: Alexandria via LeMat-Bulk, functional PBE-GGA.

Cell and atoms, written as POSCAR:
```
KAl2Co
1.0
1.5184 0.8767 9.5874
-1.5184 0.8767 9.5874
0.0000 -1.7533 9.5874
K Al Co
1 2 1
Cartesian
0.0000 0.0000 0.0000 K
0.0000 0.0000 6.5122 Al
0.0000 0.0000 22.2500 Al
0.0000 0.0000 14.3811 Co
```

Properties
* volume: 19.14 A^3/atom
* DOS(E_F): 3.049 states/eV/f.u.
* ΔE_f: 0.289 eV per atom
* SG: R-3m
* E_tot: -3.6335 eV per atom
* relative energy among the computed polymorphs: 263.1 meV/atom

Crystalline DyTm2Te at its relaxed geometry. Source: Alexandria via LeMat-Bulk, functional PBE-GGA.

Cell and atoms, written as POSCAR:
```
DyTm2Te
1.0
1.8707 1.0800 10.8242
-1.8707 1.0800 10.8242
0.0000 -2.1601 10.8242
Dy Tm Te
1 2 1
Cartesian
0.0000 0.0000 0.0000 Dy
0.0000 0.0000 3.3292 Tm
0.0000 0.0000 29.1435 Tm
0.0000 0.0000 16.2363 Te
```

Properties
* volume: 32.80 A^3/atom
* DOS(E_F): 5.489 states/eV/f.u.
* energy relative to the elements, uncorrected: -0.63 eV per formula unit
* SG: R-3m
* E_tot: -4.3288 eV per atom
* relative energy among the computed polymorphs: 469.0 meV/atom

Crystalline AlRuO3 at its relaxed geometry. Source: Alexandria via LeMat-Bulk, functional PBE-GGA.

Cell and atoms, written as POSCAR:
```
AlRuO3
1.0
3.8667 0.0000 0.0000
0.0000 3.8667 0.0000
0.0000 0.0000 3.8667
Al Ru O
1 1 3
Cartesian
0.0000 0.0000 0.0000 Al
1.9334 1.9334 1.9334 Ru
0.0000 1.9334 1.9334 O
1.9334 0.0000 1.9334 O
1.9334 1.9334 0.0000 O
```

Properties
* volume: 11.56 A^3/atom
* DOS(E_F): 2.730 states/eV/f.u.
* energy relative to the elements, uncorrected: -3.08 eV per formula unit
* SG: Pm-3m
* E_tot: -6.1945 eV per atom

Crystalline Cd2TcW at its relaxed geometry. Source: Alexandria via LeMat-Bulk, functional PBE-GGA.

Cell and atoms, written as POSCAR:
```
Cd2TcW
1.0
-2.1408 2.1408 3.7869
2.1408 -2.1408 3.7869
2.1408 2.1408 -3.7869
Cd Tc W
2 1 1
Cartesian
0.0000 0.0000 0.0000 Cd
0.0000 2.1408 1.8934 Cd
2.1408 0.0000 1.8934 Tc
0.0000 0.0000 3.7869 W
```

Properties
* volume: 17.36 A^3/atom
* DOS(E_F): 2.882 states/eV/f.u.
* ΔE_f: 0.608 eV per atom
* SG: I-4m2
* E_tot: -5.6795 eV per atom
* relative energy among the computed polymorphs: 348.9 meV/atom

Crystalline Ba2BeNi at its relaxed geometry. Source: Alexandria via LeMat-Bulk, functional PBE-GGA.

Cell and atoms, written as POSCAR:
```
Ba2BeNi
1.0
3.8851 0.0000 0.0000
0.0000 3.9054 0.0000
-0.0072 0.0000 7.6988
Ba Be Ni
2 1 1
Cartesian
3.8815 0.0000 1.8486 Ba
-0.0036 0.0000 5.8502 Ba
1.9390 1.9527 3.8494 Be
1.9426 1.9527 0.0000 Ni
```

Properties
* volume: 29.20 A^3/atom
* DOS(E_F): 2.672 states/eV/f.u.
* ΔE_f: 0.441 eV per atom
* SG: P2/m
* E_tot: -2.8973 eV per atom
* relative energy among the computed polymorphs: 336.9 meV/atom

Crystalline MnNbRh at its relaxed geometry. Source: Alexandria via LeMat-Bulk, functional PBE-GGA.

Cell and atoms, written as POSCAR:
```
MnNbRh
1.0
-2.0855 3.6744 2.9023
2.0855 -3.6744 2.9023
2.0855 3.6744 -2.9023
Mn Nb Rh
2 2 2
Cartesian
1.0427 0.4410 0.0000 Mn
1.0427 3.2333 2.9023 Mn
1.0427 -1.3804 1.7585 Nb
1.0427 5.0548 -1.1437 Nb
1.0427 2.8345 0.4797 Rh
1.0427 0.8398 3.3820 Rh
```

Properties
* volume: 14.83 A^3/atom
* DOS(E_F): 3.064 states/eV/f.u.
* ΔE_f: -0.074 eV per atom
* SG: Ima2
* E_tot: -8.9377 eV per atom

Crystalline VIrRh at its relaxed geometry. Source: Alexandria via LeMat-Bulk, functional PBE-GGA.

Cell and atoms, written as POSCAR:
```
VIrRh
1.0
-1.3666 1.3666 5.6408
1.3666 -1.3666 5.6408
1.3666 1.3666 -5.6408
V Ir Rh
1 1 1
Cartesian
0.0000 0.0000 0.0000 V
0.0000 0.0000 7.4202 Ir
0.0000 0.0000 3.8295 Rh
```

Properties
* volume: 14.05 A^3/atom
* DOS(E_F): 4.722 states/eV/f.u.
* ΔE_f: -0.323 eV per atom
* SG: I4mm
* E_tot: -8.7670 eV per atom
* relative energy among the computed polymorphs: 81.8 meV/atom

Crystalline NdSmFe4Co13 at its relaxed geometry. Source: Alexandria via LeMat-Bulk, functional PBE-GGA.

Cell and atoms, written as POSCAR:
```
NdSmFe4Co13
1.0
4.1948 2.4219 4.0910
-4.1948 2.4219 4.0910
0.0000 -4.8437 4.0910
Nd Sm Fe Co
1 1 4 13
Cartesian
0.0000 0.0000 0.0000 Nd
0.0000 0.0000 8.4291 Sm
0.0000 -2.4509 6.2633 Fe
-2.1225 1.2254 6.2633 Fe
0.0000 0.0000 5.3651 Fe
2.1225 1.2254 6.2633 Fe
-1.2013 -2.0792 4.2166 Co
-2.4013 -0.0008 4.2166 Co
-2.0818 -1.2019 6.3992 Co
0.0000 0.0000 3.0397 Co
1.2013 -2.0792 4.2167 Co
-1.2000 2.0799 4.2167 Co
-2.0908 -1.2071 10.2236 Co
2.4013 -0.0008 4.2167 Co
1.2000 2.0799 4.2167 Co
2.0818 -1.2019 6.3992 Co
0.0000 2.4038 6.3992 Co
2.0908 -1.2071 10.2236 Co
0.0000 2.4143 10.2236 Co
```

Properties
* volume: 13.12 A^3/atom
* DOS(E_F): 19.080 states/eV/f.u.
* ΔE_f: -0.067 eV per atom
* SG: R3m
* E_tot: -7.2096 eV per atom

Crystalline Y3Zr2N4 at its relaxed geometry. Source: Alexandria via LeMat-Bulk, functional PBE-GGA.

Cell and atoms, written as POSCAR:
```
Y3Zr2N4
1.0
2.9209 -1.6864 0.0000
2.9209 1.6864 0.0000
-0.0099 0.0000 14.1080
Y Zr N
3 2 4
Cartesian
0.0000 0.0000 0.0000 Y
1.9473 0.0000 5.4347 Y
3.8847 0.0000 8.6733 Y
1.9374 0.0000 11.3403 Zr
3.8947 0.0000 2.7677 Zr
0.0002 0.0000 4.0215 N
1.9473 0.0000 1.4481 N
3.8847 0.0000 12.6599 N
5.8319 0.0000 10.0865 N
```

Properties
* volume: 15.44 A^3/atom
* DOS(E_F): 4.375 states/eV/f.u.
* energy relative to the elements, uncorrected: -13.47 eV per formula unit
* SG: C2/m
* E_tot: -9.2508 eV per atom

Crystalline Ca2ScCd at its relaxed geometry. Source: Alexandria via LeMat-Bulk, functional PBE-GGA.

Cell and atoms, written as POSCAR:
```
Ca2ScCd
1.0
3.6413 0.0000 0.0000
0.0000 3.6413 0.0000
0.0000 0.0000 9.3640
Ca Sc Cd
2 1 1
Cartesian
0.0000 0.0000 0.0000 Ca
1.8207 1.8207 3.0776 Ca
1.8207 1.8207 6.7887 Sc
0.0000 0.0000 5.1786 Cd
```

Properties
* volume: 31.04 A^3/atom
* DOS(E_F): 4.959 states/eV/f.u.
* ΔE_f: -0.080 eV per atom
* SG: P4mm
* E_tot: -2.8926 eV per atom

Crystalline LaTb3NdSm at its relaxed geometry. Source: Alexandria via LeMat-Bulk, functional PBE-GGA.

Cell and atoms, written as POSCAR:
```
LaTb3NdSm
1.0
10.1187 -2.8442 0.0000
10.1187 2.8442 0.0000
-0.0298 0.0000 7.0706
La Tb Nd Sm
2 6 2 2
Cartesian
2.9575 0.0000 0.2631 La
17.2500 0.0000 6.8074 La
0.4437 0.0000 5.2707 Tb
5.6264 0.0000 5.3198 Tb
6.7908 0.0000 1.8332 Tb
13.4167 0.0000 5.2374 Tb
14.5811 0.0000 1.7508 Tb
19.7638 0.0000 1.7999 Tb
8.9887 0.0000 5.2351 Nd
11.2188 0.0000 1.8354 Nd
2.9827 0.0000 3.2910 Sm
17.2249 0.0000 3.7796 Sm
```

Properties
* volume: 33.91 A^3/atom
* DOS(E_F): 8.479 states/eV/f.u.
* ΔE_f: 0.176 eV per atom
* SG: C2/m
* E_tot: -4.5410 eV per atom

Crystalline CaCdCu at its relaxed geometry. Source: Alexandria via LeMat-Bulk, functional PBE-GGA.

Cell and atoms, written as POSCAR:
```
CaCdCu
1.0
0.0000 3.3437 3.3437
3.3437 0.0000 3.3437
3.3437 3.3437 0.0000
Ca Cd Cu
1 1 1
Cartesian
0.0000 0.0000 0.0000 Ca
3.3437 3.3437 3.3437 Cd
1.6718 1.6718 1.6718 Cu
```

Properties
* volume: 24.92 A^3/atom
* DOS(E_F): 2.151 states/eV/f.u.
* ΔE_f: -0.088 eV per atom
* SG: F-43m
* E_tot: -2.4256 eV per atom

Crystalline LaDy2Ho2Er at its relaxed geometry. Source: Alexandria via LeMat-Bulk, functional PBE-GGA.

Cell and atoms, written as POSCAR:
```
LaDy2Ho2Er
1.0
6.9219 0.0000 0.0000
0.0000 16.0936 0.0000
0.0000 0.0000 3.5258
La Dy Ho Er
2 4 4 2
Cartesian
0.0000 0.0000 0.0000 La
3.4610 8.0468 1.7629 La
1.7238 5.5080 0.0000 Dy
1.7372 13.5548 1.7629 Dy
5.1847 2.5389 1.7629 Dy
5.1981 10.5857 0.0000 Dy
1.7217 10.5705 0.0000 Ho
1.7392 2.5236 1.7629 Ho
5.1827 13.5700 1.7629 Ho
5.2002 5.5232 0.0000 Ho
0.0000 8.0468 1.7629 Er
3.4610 0.0000 0.0000 Er
```

Properties
* volume: 32.73 A^3/atom
* DOS(E_F): 9.000 states/eV/f.u.
* ΔE_f: 0.167 eV per atom
* SG: Pnnm
* E_tot: -4.4747 eV per atom

Crystalline CuHg2As at its relaxed geometry. Source: Alexandria via LeMat-Bulk, functional PBE-GGA.

Cell and atoms, written as POSCAR:
```
CuHg2As
1.0
2.0173 1.1647 6.2250
-2.0173 1.1647 6.2250
0.0000 -2.3293 6.2250
Cu Hg As
1 2 1
Cartesian
0.0000 0.0000 0.0000 Cu
0.0000 0.0000 9.8628 Hg
0.0000 0.0000 14.1164 Hg
0.0000 0.0000 5.6022 As
```

Properties
* volume: 21.94 A^3/atom
* DOS(E_F): 2.376 states/eV/f.u.
* ΔE_f: 0.152 eV per atom
* SG: R3m
* E_tot: -2.1849 eV per atom

Crystalline BaCS at its relaxed geometry. Source: Alexandria via LeMat-Bulk, functional PBE-GGA.

Cell and atoms, written as POSCAR:
```
BaCS
1.0
8.3879 -2.1747 0.0000
8.3879 2.1747 0.0000
-0.4163 0.0000 4.5417
Ba C S
2 2 2
Cartesian
0.0000 0.0000 0.0000 Ba
11.5938 0.0000 2.3036 Ba
7.3593 0.0000 2.4304 C
8.5599 0.0000 2.0235 C
2.5786 0.0000 4.5206 S
5.8538 0.0000 3.1751 S
```

Properties
* volume: 27.62 A^3/atom
* DOS(E_F): 0.000 states/eV/f.u.
* energy relative to the elements, uncorrected: -2.51 eV per formula unit
* SG: Cm
* E_tot: -5.9277 eV per atom
* relative energy among the computed polymorphs: 0.0 meV/atom

Crystalline Tb6Hg2Ir at its relaxed geometry. Source: Alexandria via LeMat-Bulk, functional PBE-GGA.

Cell and atoms, written as POSCAR:
```
Tb6Hg2Ir
1.0
6.9571 0.0000 0.0000
0.0000 7.4322 0.0000
-6.8971 0.0000 10.2836
Tb Hg Ir
12 4 2
Cartesian
-2.2236 1.4343 4.6107 Tb
-5.6721 2.2817 9.7525 Tb
-1.2891 5.1130 4.5756 Tb
-4.7376 6.0352 9.7174 Tb
0.8403 0.1151 2.5274 Tb
-2.6083 3.6010 7.6692 Tb
2.6683 3.8312 2.6144 Tb
-0.7802 7.3171 7.7562 Tb
4.7976 1.3970 0.5662 Tb
1.3491 2.3191 5.7080 Tb
5.7322 5.1504 0.5311 Tb
2.2836 5.9978 5.6729 Tb
-3.7255 0.7015 7.6887 Hg
-0.2770 3.0146 2.5469 Hg
0.3370 4.4176 7.7367 Hg
3.7856 6.7306 2.5949 Hg
0.0300 0.0000 5.1418 Ir
3.4786 3.7161 0.0000 Ir
```

Properties
* volume: 29.54 A^3/atom
* DOS(E_F): 7.329 states/eV/f.u.
* ΔE_f: -0.381 eV per atom
* SG: P2_1/c
* E_tot: -4.5195 eV per atom
* relative energy among the computed polymorphs: 0.0 meV/atom

Crystalline ZnCoGe2 at its relaxed geometry. Source: Alexandria via LeMat-Bulk, functional PBE-GGA.

Cell and atoms, written as POSCAR:
```
ZnCoGe2
1.0
-3.1184 3.1184 3.9150
3.1184 -3.1184 3.9150
3.1184 3.1184 -3.9150
Zn Co Ge
2 2 4
Cartesian
0.0000 0.0000 0.0000 Zn
0.0000 3.1184 1.9575 Zn
3.1184 0.0000 1.9575 Co
0.0000 0.0000 3.9150 Co
1.5592 -1.3482 2.9363 Ge
1.7702 1.5592 0.9788 Ge
1.5592 4.4666 -0.9788 Ge
1.3482 1.5592 4.8938 Ge
```

Properties
* volume: 19.04 A^3/atom
* DOS(E_F): 2.652 states/eV/f.u.
* ΔE_f: 0.395 eV per atom
* SG: I-42d
* E_tot: -4.0089 eV per atom

Crystalline SrZrOs2 at its relaxed geometry. Source: Alexandria via LeMat-Bulk, functional PBE-GGA.

Cell and atoms, written as POSCAR:
```
SrZrOs2
1.0
-2.4874 2.4874 9.0216
2.4874 -2.4874 9.0216
2.4874 2.4874 -9.0216
Sr Zr Os
2 2 4
Cartesian
0.0000 0.0000 0.0000 Sr
0.0000 2.4874 4.5108 Sr
2.4874 0.0000 4.5108 Zr
0.0000 0.0000 9.0216 Zr
1.2437 -0.0677 6.7662 Os
2.4197 1.2437 2.2554 Os
1.2437 2.5551 -2.2554 Os
0.0677 1.2437 11.2771 Os
```

Properties
* volume: 27.91 A^3/atom
* DOS(E_F): 2.817 states/eV/f.u.
* ΔE_f: 0.733 eV per atom
* SG: I-42d
* E_tot: -7.4395 eV per atom
* relative energy among the computed polymorphs: 447.2 meV/atom

Crystalline ThCd6Au2 at its relaxed geometry. Source: Alexandria via LeMat-Bulk, functional PBE-GGA.

Cell and atoms, written as POSCAR:
```
ThCd6Au2
1.0
7.5706 -4.3854 0.0000
7.5706 4.3854 0.0000
-0.6335 0.0000 3.1076
Th Cd Au
1 6 2
Cartesian
0.0000 0.0000 0.0000 Th
2.2522 1.5293 2.0994 Cd
7.2538 1.4387 1.5538 Cd
2.2522 -1.5293 2.0994 Cd
12.2554 1.5293 1.0082 Cd
7.2538 -1.4387 1.5538 Cd
12.2554 -1.5293 1.0082 Cd
4.8268 0.0000 2.6462 Au
9.6808 0.0000 0.4614 Au
```

Properties
* volume: 22.93 A^3/atom
* DOS(E_F): 5.784 states/eV/f.u.
* ΔE_f: -0.072 eV per atom
* SG: C2/m
* E_tot: -2.2346 eV per atom